The following is a GGA-PBE calculation of a relaxed Rb2HgPtI crystal, from the Alexandria database.

abc: 6.4487 6.4487 5.2375
angles: 90.00 90.00 90.00
Space group P4/mmm (No. 123)
One atom of each set of equivalent atoms:
Rb 0.0000 0.5000 0.0000
Hg 0.0000 0.0000 0.5000
Pt 0.0000 0.0000 0.0000
I 0.5000 0.5000 0.5000

- V: 43.56 Å³ per atom
- Magnetization: 0.031 μB per atom
- DOS(E_F): 0.961 states/eV per atom
- Uncorrected formation energy: -0.54 eV/atom

=====

The following is a GGA-PBE calculation of a relaxed Sc4CoSb crystal, from the Alexandria database.

abc: 8.2865 12.3763 5.5523
angles: 90.00 113.24 90.00
Space group C2/c (No. 15)
One atom of each set of equivalent atoms:
Sc 0.1095 0.1664 0.0681
Sc 0.2228 0.4272 0.3496
Co 0.0000 0.0003 0.2500
Sb 0.0000 0.3716 0.7500

- V: 21.80 Å³ per atom
- Magnetization: 0.000 μB per atom
- DOS(E_F): 0.990 states/eV per atom
- Uncorrected formation energy: -0.50 eV/atom
- E above lowest polymorph: 0.000 eV per atom

=====

The following is a GGA-PBE calculation of a relaxed Ca3AcAs3 crystal, from the Alexandria database.

abc: 9.2052 9.2052 9.2052
angles: 90.00 90.00 90.00
Space group P2_13 (No. 198)
One atom of each set of equivalent atoms:
Ca 0.0616 0.4384 0.5616
Ca 0.1808 0.1808 0.1808
Ca 0.1859 0.8141 0.3141
Ac 0.0666 0.5666 0.9334
As 0.0007 0.7457 0.6247

- E_form: -1.250 eV per atom
- V: 27.86 Å³ per atom
- Magnetization: 0.000 μB per atom

=====

The following is a GGA-PBE calculation of a relaxed Pr3Nd5Ho2 crystal, from the Alexandria database.

abc: 12.3278 17.3663 6.5992
angles: 90.00 90.00 90.00
Space group Ibam (No. 72)
One atom of each set of equivalent atoms:
Pr 0.0000 0.0000 0.2500
Pr 0.0826 0.3308 0.0000
Nd 0.0000 0.5000 0.2500
Nd 0.2366 0.1692 0.0000
Nd 0.2492 0.5000 0.2500
Ho 0.0938 0.1682 0.5000

- E_form: 0.270 eV per atom
- V: 35.32 Å³ per atom
- Magnetization: 0.000 μB per atom
- DOS(E_F): 1.484 states/eV per atom
- E above lowest polymorph: 0.107 eV per atom